[1]
A geometry-optimized BaMg2Pt structure. Source: the Alexandria database, functional PBEsol.

Calculated values
E_form   27 meV/atom
SG   No. 12
Spin magnetization   0.0 μB per formula unit
Crystal system   monoclinic

Cell lengths 3.7910, 4.8751, 6.4977 Å; angles 111.76, 106.62, 90.88 degrees
Fractional positions:
Mg 0.5000 0.5000 0.5000
Mg 0.0000 0.0000 0.5000
Pt 0.5000 0.0000 0.0000
Ba 0.0000 0.5000 0.0000

=====

[2]
A geometry-optimized AlCNO2 structure. Source: the Alexandria database, functional PBEsol.

Calculated values
SG   No. 123
Spin magnetization   0.0 μB per formula unit
Formation energy from raw total energies   0.324 eV per atom
Crystal system   tetragonal

Cell lengths 2.5723, 3.9180, 3.9180 Å; angles 90.00, 90.00, 90.00 degrees
Fractional positions:
N 0.5000 0.0000 0.0000
Al 0.5000 0.5000 0.5000
C 0.0000 0.0000 0.0000
O 0.0000 0.5000 0.0000
O 0.0000 0.0000 0.5000

=====

[3]
A geometry-optimized LiMgP2 structure. Source: the Alexandria database, functional PBEsol.

Calculated values
E_form   -284 meV/atom
SG   No. 10
Spin magnetization   0.0 μB per formula unit
Crystal system   monoclinic

Cell lengths 2.8744, 3.7078, 5.6368 Å; angles 90.00, 93.83, 90.00 degrees
Fractional positions:
Li 0.5000 0.5000 0.0000
Mg 0.5000 0.5000 0.5000
P 0.9903 0.0000 0.7744
P 0.0097 0.0000 0.2256

=====

[4]
A geometry-optimized Ba4NaAl2B8Br3O18 structure. Source: the Alexandria database, functional PBEsol.

Calculated values
SG   No. 102
Spin magnetization   0.0 μB per formula unit
Formation energy from raw total energies   -2.660 eV per atom
Crystal system   tetragonal

Cell lengths 6.8652, 12.1993, 12.1993 Å; angles 90.00, 90.00, 90.00 degrees
Fractional positions:
Br 0.9133 0.0000 0.0000
Br 0.4133 0.5000 0.5000
Br 0.7568 0.5000 0.0000
Br 0.2568 0.0000 0.5000
Br 0.7568 0.0000 0.5000
Br 0.2568 0.5000 0.0000
O 0.1668 0.2473 0.6116
O 0.3423 0.9396 0.8012
O 0.1668 0.6116 0.2473
O 0.8423 0.4396 0.6988
O 0.1668 0.7527 0.3884
O 0.8423 0.3012 0.5604
O 0.5888 0.9257 0.2382
O 0.0888 0.4257 0.2618
O 0.6668 0.1116 0.2527
O 0.8423 0.6988 0.4396
O 0.5888 0.2382 0.9257
O 0.4173 0.7498 0.7498
O 0.3423 0.0604 0.1988
O 0.7411 0.2990 0.2990
O 0.5891 0.6991 0.3009
O 0.0891 0.1991 0.1991
O 0.5888 0.7618 0.0743
O 0.0888 0.2618 0.4257
O 0.1668 0.3884 0.7527
O 0.6668 0.7473 0.8884
O 0.8423 0.5604 0.3012
O 0.6668 0.2527 0.1116
O 0.2411 0.7990 0.2010
O 0.5891 0.3009 0.6991
O 0.0888 0.5743 0.7382
O 0.9173 0.2498 0.7502
O 0.3423 0.8012 0.9396
O 0.5888 0.0743 0.7618
O 0.9173 0.7502 0.2498
O 0.6668 0.8884 0.7473
O 0.3423 0.1988 0.0604
O 0.0888 0.7382 0.5743
O 0.0891 0.8009 0.8009
O 0.7411 0.7010 0.7010
O 0.2411 0.2010 0.7990
O 0.4173 0.2502 0.2502
B 0.0297 0.2688 0.5317
B 0.5297 0.0317 0.2312
B 0.1259 0.2706 0.7294
B 0.1259 0.7294 0.2706
B 0.0297 0.4683 0.7312
B 0.2934 0.1812 0.1812
B 0.7934 0.6812 0.3188
B 0.5297 0.2312 0.0317
B 0.5297 0.9683 0.7688
B 0.5297 0.7688 0.9683
B 0.6259 0.7706 0.7706
B 0.2934 0.8188 0.8188
B 0.7934 0.3188 0.6812
B 0.6259 0.2294 0.2294
B 0.0297 0.5317 0.2688
B 0.0297 0.7312 0.4683
Ba 0.9909 0.9795 0.2740
Ba 0.4909 0.7740 0.5205
Ba 0.9909 0.7260 0.0205
Ba 0.4909 0.2260 0.4795
Ba 0.9909 0.0205 0.7260
Ba 0.4909 0.5205 0.7740
Ba 0.4909 0.4795 0.2260
Ba 0.9909 0.2740 0.9795
Na 0.8291 0.5000 0.5000
Na 0.3291 0.0000 0.0000
Al 0.9984 0.2950 0.2950
Al 0.4984 0.2050 0.7950
Al 0.4984 0.7950 0.2050
Al 0.9984 0.7050 0.7050

=====

[5]
A geometry-optimized BeSiOs structure. Source: the Alexandria database, functional PBEsol.

Calculated values
SG   No. 156
Spin magnetization   0.0 μB per formula unit
Formation energy from raw total energies   0.063 eV per atom
Crystal system   trigonal

Cell lengths 2.7536, 2.7536, 5.6100 Å; angles 90.00, 90.00, 120.00 degrees
Fractional positions:
Os 0.3333 0.6667 0.6719
Si 0.6667 0.3333 0.3321
Be 0.0000 0.0000 0.9960

=====

[6]
A geometry-optimized Cr2TcMo structure. Source: the Alexandria database, functional PBEsol.

Calculated values
E_form   78 meV/atom
Offset from the most stable computed form   0.023 eV per formula unit
SG   No. 44
Spin magnetization   0.0 μB per formula unit
Crystal system   orthorhombic

Cell lengths 2.9513, 4.1957, 4.9103 Å; angles 115.29, 107.49, 90.00 degrees
Fractional positions:
Mo 0.4943 0.4943 0.9886
Tc 0.2536 0.7536 0.5072
Cr 0.7441 0.2441 0.4883
Cr 0.0080 0.0080 0.0160

=====

[7]
A geometry-optimized MnBeSb2 structure. Source: the Alexandria database, functional PBEsol.

Calculated values
SG   No. 119
Spin magnetization   3.6 μB per formula unit
Formation energy from raw total energies   0.502 eV per atom
Crystal system   tetragonal

Cell lengths 3.8191, 3.8191, 5.8042 Å; angles 109.21, 109.21, 90.00 degrees
Fractional positions:
Sb 0.0000 0.0000 0.0000
Sb 0.7500 0.2500 0.5000
Mn 0.2500 0.7500 0.5000
Be 0.5000 0.5000 0.0000

=====

[8]
A geometry-optimized Ba2AlHgW structure. Source: the Alexandria database, functional PBEsol.

Calculated values
E_form   927 meV/atom
SG   No. 123
Spin magnetization   2.5 μB per formula unit
Crystal system   tetragonal

Cell lengths 4.8123, 6.2307, 6.2307 Å; angles 90.00, 90.00, 90.00 degrees
Fractional positions:
Hg 0.5000 0.5000 0.5000
Ba 0.0000 0.5000 0.0000
Ba 0.0000 0.0000 0.5000
Al 0.0000 0.0000 0.0000
W 0.5000 0.0000 0.0000

=====

[9]
A geometry-optimized LuRh3 structure. Source: the Alexandria database, functional PBEsol.

Calculated values
E_form   -569 meV/atom
SG   No. 221
Spin magnetization   0.0 μB per formula unit
Crystal system   cubic

Cell lengths 3.9336, 3.9336, 3.9336 Å; angles 90.00, 90.00, 90.00 degrees
Fractional positions:
Lu 0.5000 0.5000 0.5000
Rh 0.0000 0.5000 0.0000
Rh 0.5000 0.0000 0.0000
Rh 0.0000 0.0000 0.5000

=====

[10]
A geometry-optimized TiGeH3 structure. Source: the Alexandria database, functional PBEsol.

Calculated values
SG   No. 221
Spin magnetization   0.8 μB per formula unit
Crystal system   cubic

Cell lengths 3.5193, 3.5193, 3.5193 Å; angles 90.00, 90.00, 90.00 degrees
Fractional positions:
Ti 0.5000 0.5000 0.5000
H 0.0000 0.0000 0.5000
H 0.0000 0.5000 0.0000
H 0.5000 0.0000 0.0000
Ge 0.0000 0.0000 0.0000

=====

[11]
A geometry-optimized NaPbSe2N structure. Source: the Alexandria database, functional PBEsol.

Calculated values
SG   No. 123
Spin magnetization   3.2 μB per formula unit
Formation energy from raw total energies   0.861 eV per atom
Crystal system   tetragonal

Cell lengths 4.3710, 5.2052, 5.2052 Å; angles 90.00, 90.00, 90.00 degrees
Fractional positions:
Se 0.0000 0.0000 0.5000
Se 0.0000 0.5000 0.0000
N 0.5000 0.0000 0.0000
Pb 0.5000 0.5000 0.5000
Na 0.0000 0.0000 0.0000

=====

[12]
A geometry-optimized K2AgBi2 structure. Source: the Alexandria database, functional PBEsol.

Calculated values
E_form   -223 meV/atom
SG   No. 127
Spin magnetization   0.0 μB per formula unit
Crystal system   tetragonal

Cell lengths 5.8003, 7.5181, 7.5181 Å; angles 90.00, 90.00, 90.00 degrees
Fractional positions:
K 0.5000 0.3354 0.1646
K 0.5000 0.1646 0.6646
K 0.5000 0.8354 0.3354
K 0.5000 0.6646 0.8354
Ag 0.0000 0.5000 0.5000
Ag 0.0000 0.0000 0.0000
Bi 0.0000 0.3532 0.8532
Bi 0.0000 0.8532 0.6468
Bi 0.0000 0.6468 0.1468
Bi 0.0000 0.1468 0.3532

=====

[13]
A geometry-optimized Ni2MoCl structure. Source: the Alexandria database, functional PBEsol.

Calculated values
Offset from the most stable computed form   0.000 eV per formula unit
SG   No. 166
Spin magnetization   0.0 μB per formula unit
Formation energy from raw total energies   0.216 eV per atom
Crystal system   trigonal

Cell lengths 2.8203, 2.8203, 7.8216 Å; angles 79.61, 79.61, 60.00 degrees
Fractional positions:
Mo 0.0000 0.0000 0.0000
Ni 0.2472 0.2472 0.2583
Ni 0.7528 0.7528 0.7417
Cl 0.5000 0.5000 0.5000

=====

[14]
A geometry-optimized RbZr2SbPd structure. Source: the Alexandria database, functional PBEsol.

Calculated values
SG   No. 123
Spin magnetization   1.6 μB per formula unit
Formation energy from raw total energies   1.117 eV per atom
Crystal system   tetragonal

Cell lengths 5.3140, 5.3140, 6.1460 Å; angles 90.00, 90.00, 90.00 degrees
Fractional positions:
Sb 0.0000 0.0000 0.0000
Zr 0.5000 0.0000 0.0000
Zr 0.0000 0.5000 0.0000
Rb 0.0000 0.0000 0.5000
Pd 0.5000 0.5000 0.5000

=====

[15]
A geometry-optimized Ti2MnAg structure. Source: the Alexandria database, functional PBEsol.

Calculated values
E_form   38 meV/atom
SG   No. 225
Spin magnetization   0.0 μB per formula unit
Crystal system   cubic

Cell lengths 4.3517, 4.3517, 4.3517 Å; angles 60.00, 60.00, 60.00 degrees
Fractional positions:
Ag 0.5000 0.5000 0.5000
Ti 0.2500 0.2500 0.2500
Ti 0.7500 0.7500 0.7500
Mn 0.0000 0.0000 0.0000

=====

[16]
A geometry-optimized BiSbS2N structure. Source: the Alexandria database, functional PBEsol.

Calculated values
SG   No. 123
Spin magnetization   0.2 μB per formula unit
Formation energy from raw total energies   0.935 eV per atom
Crystal system   tetragonal

Cell lengths 4.1241, 5.1888, 5.1888 Å; angles 90.00, 90.00, 90.00 degrees
Fractional positions:
Sb 0.5000 0.5000 0.5000
N 0.5000 0.0000 0.0000
S 0.0000 0.0000 0.5000
S 0.0000 0.5000 0.0000
Bi 0.0000 0.0000 0.0000

=====

[17]
A geometry-optimized Cr2CoAg structure. Source: the Alexandria database, functional PBEsol.

Calculated values
E_form   433 meV/atom
Offset from the most stable computed form   0.194 eV per formula unit
SG   No. 160
Spin magnetization   0.6 μB per formula unit
Crystal system   trigonal

Cell lengths 2.5726, 2.5726, 8.7501 Å; angles 81.55, 81.55, 60.00 degrees
Fractional positions:
Cr 0.9958 0.9958 0.0125
Cr 0.7437 0.7437 0.7689
Co 0.2581 0.2581 0.2256
Ag 0.5023 0.5023 0.4931

=====

[18]
A geometry-optimized K2CuNi structure. Source: the Alexandria database, functional PBEsol.

Calculated values
E_form   907 meV/atom
Offset from the most stable computed form   1.355 eV per formula unit
SG   No. 123
Spin magnetization   0.2 μB per formula unit
Crystal system   tetragonal

Cell lengths 3.1302, 3.1302, 9.3882 Å; angles 90.00, 90.00, 90.00 degrees
Fractional positions:
Ni 0.5000 0.5000 0.0000
K 0.0000 0.0000 0.7565
K 0.0000 0.0000 0.2435
Cu 0.5000 0.5000 0.5000

=====

[19]
A geometry-optimized YCoAg2S structure. Source: the Alexandria database, functional PBEsol.

Calculated values
SG   No. 123
Spin magnetization   0.0 μB per formula unit
Formation energy from raw total energies   0.109 eV per atom
Crystal system   tetragonal

Cell lengths 4.0634, 4.8030, 4.8030 Å; angles 90.00, 90.00, 90.00 degrees
Fractional positions:
S 0.0000 0.0000 0.0000
Ag 0.0000 0.5000 0.0000
Ag 0.0000 0.0000 0.5000
Co 0.5000 0.0000 0.0000
Y 0.5000 0.5000 0.5000

=====

[20]
A geometry-optimized SbIrPt2 structure. Source: the Alexandria database, functional PBEsol.

Calculated values
SG   No. 99
Spin magnetization   0.0 μB per formula unit
Formation energy from raw total energies   0.104 eV per atom
Crystal system   tetragonal

Cell lengths 3.4067, 3.4067, 5.6381 Å; angles 90.00, 90.00, 90.00 degrees
Fractional positions:
Pt 0.0000 0.0000 0.0018
Pt 0.5000 0.5000 0.2348
Ir 0.5000 0.5000 0.7561
Sb 0.0000 0.0000 0.5073

=====

[21]
A geometry-optimized Zn4Fe structure. Source: the Alexandria database, functional PBEsol.

Calculated values
E_form   56 meV/atom
SG   No. 87
Spin magnetization   1.6 μB per formula unit
Crystal system   tetragonal

Cell lengths 3.6682, 4.5777, 4.5777 Å; angles 80.76, 66.38, 66.38 degrees
Fractional positions:
Zn 0.2073 0.1925 0.3930
Zn 0.3997 0.3930 0.8075
Zn 0.6003 0.6070 0.1925
Zn 0.7927 0.8075 0.6070
Fe 0.0000 0.0000 0.0000

=====

[22]
A geometry-optimized Cs3BiCl6 structure. Source: the Alexandria database, functional PBEsol.

Calculated values
SG   No. 225
Spin magnetization   0.0 μB per formula unit
Formation energy from raw total energies   -1.580 eV per atom
Crystal system   cubic

Cell lengths 8.3053, 8.3053, 8.3053 Å; angles 60.00, 60.00, 60.00 degrees
Fractional positions:
Cl 0.7712 0.2288 0.2288
Cl 0.7712 0.2288 0.7712
Cl 0.2288 0.7712 0.7712
Cl 0.7712 0.7712 0.2288
Cl 0.2288 0.7712 0.2288
Cl 0.2288 0.2288 0.7712
Cs 0.2500 0.2500 0.2500
Cs 0.5000 0.5000 0.5000
Cs 0.7500 0.7500 0.7500
Bi 0.0000 0.0000 0.0000

=====

[23]
A geometry-optimized RbEu2Cl7 structure. Source: the Alexandria database, functional PBEsol.

Calculated values
SG   No. 62
Spin magnetization   0.0 μB per formula unit
Formation energy from raw total energies   -1.944 eV per atom
Crystal system   orthorhombic

Cell lengths 6.9551, 12.9874, 12.7349 Å; angles 90.00, 90.00, 90.00 degrees
Fractional positions:
Eu 0.7500 0.8385 0.7490
Eu 0.7500 0.9592 0.2609
Eu 0.7500 0.6615 0.2490
Eu 0.2500 0.1615 0.2510
Eu 0.2500 0.3385 0.7510
Eu 0.2500 0.0408 0.7391
Eu 0.2500 0.4592 0.2391
Eu 0.7500 0.5408 0.7609
Cl 0.5036 0.8077 0.3302
Cl 0.9964 0.8077 0.3302
Cl 0.9964 0.6923 0.8302
Cl 0.0036 0.1923 0.6698
Cl 0.0095 0.4573 0.6252
Cl 0.5117 0.4203 0.8849
Cl 0.2500 0.1859 0.9013
Cl 0.0036 0.3077 0.1698
Cl 0.4964 0.3077 0.1698
Cl 0.4964 0.1923 0.6698
Cl 0.9883 0.4203 0.8849
Cl 0.4883 0.5797 0.1151
Cl 0.4905 0.0427 0.1252
Cl 0.2500 0.3141 0.4013
Cl 0.5095 0.9573 0.8748
Cl 0.9905 0.9573 0.8748
Cl 0.7500 0.8141 0.0987
Cl 0.0117 0.9203 0.6151
Cl 0.5095 0.5427 0.3748
Cl 0.0095 0.0427 0.1252
Cl 0.5036 0.6923 0.8302
Cl 0.9883 0.0797 0.3849
Cl 0.4883 0.9203 0.6151
Cl 0.7500 0.6859 0.5987
Cl 0.5117 0.0797 0.3849
Cl 0.4905 0.4573 0.6252
Cl 0.9905 0.5427 0.3748
Cl 0.0117 0.5797 0.1151
Rb 0.7500 0.1959 0.9571
Rb 0.2500 0.6959 0.5429
Rb 0.2500 0.8041 0.0429
Rb 0.7500 0.3041 0.4571

=====

Looking at E_tot for the records above, in order, we have -12.439; -31.140; -16.404; -540.330; -21.774; -43.207; -20.868; -18.127; -31.565; -20.317; -17.320; -30.531; -25.226; -24.135; -29.565; -21.464; -29.802; -9.131; -25.022; -27.893; -15.011; -34.963; -222.570 eV per cell.